[1]
{"formula": "ErNiBi", "functional": "PBE", "state": "relaxed", "total_magnetization_mub_per_cell": 0.01, "space_group": "P-62m, No. 189", "energy_ev_per_atom": -4.7490, "cell": [[-6.539, 5.042, 0.355], [0.494, -6.491, 5.092], [1.662, 1.988, 2.373]], "species": ["Bi", "Bi", "Bi", "Er", "Er", "Er", "Ni", "Ni", "Ni"], "fractional_positions": [[0.667, 0.333, 0.000], [0.333, 0.667, 0.000], [0.000, 0.000, 0.500], [0.295, 0.000, 0.000], [0.000, 0.295, 0.000], [0.705, 0.705, 0.000], [0.662, 0.000, 0.500], [0.338, 0.338, 0.500], [0.000, 0.662, 0.500]]}


[2]
{"formula": "LuScCu2Sn2", "functional": "PBE", "state": "relaxed", "total_magnetization_mub_per_cell": 0.00, "space_group": "P3m1, No. 156", "energy_ev_per_atom": -4.9329, "cell": [[4.451, 0.000, 0.000], [-2.226, 3.855, 0.000], [0.000, 0.000, 6.963]], "species": ["Cu", "Cu", "Lu", "Sc", "Sn", "Sn"], "fractional_positions": [[0.333, 0.667, 0.061], [0.667, 0.333, 0.554], [0.000, 0.000, 0.731], [0.000, 0.000, 0.231], [0.333, 0.667, 0.455], [0.667, 0.333, 0.969]]}